1.
Density functional theory data (PBE-GGA) for a relaxed Pa5Al2Ga crystal.

**Formation energy**: -0.130 eV/atom
**Total DFT energy (no corrections)**: -7.38 eV per atom
**M_tot**: 0.00 Bohr magnetons per cell
**Calculated volume**: 358.4 Å³ per cell

POSCAR file:
```
Pa5Al2Ga
1.0
-0.554 1.910 3.951
-5.814 1.888 -1.728
-4.884 -10.862 4.566
Pa Al Ga
10 4 2
direct
0.500 0.251 0.375
0.000 0.493 0.761
0.000 0.507 0.239
0.500 0.749 0.625
0.500 0.249 0.875
0.000 0.500 0.500
0.000 0.993 0.739
0.500 0.751 0.125
0.000 0.007 0.261
0.000 0.000 0.000
0.500 0.745 0.375
0.500 0.245 0.125
0.500 0.755 0.875
0.500 0.255 0.625
0.000 0.000 0.500
0.000 0.500 0.000
```

2.
Density functional theory data (PBE-GGA) for a relaxed CsNa7 crystal.

**Formation energy**: 0.049 eV/atom
**Total DFT energy (no corrections)**: -1.21 eV per atom
**M_tot**: 0.00 Bohr magnetons per cell
**Calculated volume**: 358.8 Å³ per cell

POSCAR file:
```
CsNa7
1.0
-1.256 3.680 -1.816
-9.028 -1.825 -2.404
-5.422 3.931 6.765
Na Cs
7 1
direct
0.359 0.846 0.434
0.000 0.500 0.500
0.641 0.566 0.154
0.641 0.154 0.566
0.251 0.251 0.251
0.359 0.434 0.846
0.749 0.749 0.749
0.000 0.000 0.000
```

3.
Density functional theory data (PBE-GGA) for a relaxed K2NaAg crystal.

**Formation energy**: -0.003 eV/atom
**Relative energy among the computed polymorphs**: 0 meV/atom
**Total DFT energy (no corrections)**: -1.59 eV per atom
**M_tot**: 0.00 Bohr magnetons per cell
**Calculated volume**: 191.6 Å³ per cell

POSCAR file:
```
K2NaAg
1.0
-4.820 -0.710 -1.689
-1.206 -4.263 -2.639
-3.932 -5.518 5.672
Na K Ag
1 2 1
direct
0.136 0.896 0.831
0.708 0.473 0.112
0.896 0.661 0.548
0.471 0.232 0.826
```

4.
Density functional theory data (PBE-GGA) for a relaxed ThScPaIn crystal.

**Formation energy**: 0.120 eV/atom
**Total DFT energy (no corrections)**: -6.38 eV per atom
**M_tot**: 1.16 Bohr magnetons per cell
**Calculated volume**: 105.1 Å³ per cell

POSCAR file:
```
ThScPaIn
1.0
-5.292 0.220 -0.072
-2.838 -4.472 0.087
-2.764 -1.299 4.328
Pa In Th Sc
1 1 1 1
direct
0.000 0.000 0.000
0.500 0.500 0.500
0.250 0.250 0.250
0.750 0.750 0.750
```

5.
Density functional theory data (PBE-GGA) for a relaxed Dy2Tm2Sc3 crystal.

**Formation energy**: 0.245 eV/atom
**Relative energy among the computed polymorphs**: 193 meV/atom
**Total DFT energy (no corrections)**: -5.06 eV per atom
**M_tot**: 0.00 Bohr magnetons per cell
**Calculated volume**: 399.5 Å³ per cell

POSCAR file:
```
Dy2Tm2Sc3
1.0
-4.738 -2.873 -5.821
4.691 -5.898 2.791
-4.541 2.868 5.978
Tm Dy Sc
4 4 6
direct
0.914 0.500 0.000
0.586 0.086 0.086
0.500 0.414 0.500
0.000 0.000 0.414
0.182 0.682 0.682
0.000 0.000 0.818
0.318 0.500 0.000
0.500 0.818 0.500
0.055 0.305 0.250
0.695 0.750 0.945
0.805 0.250 0.555
0.250 0.945 0.195
0.445 0.195 0.750
0.750 0.555 0.305
```

6.
Density functional theory data (PBE-GGA) for a relaxed ZnRuSe2N crystal.

**Relative energy among the computed polymorphs**: 0 meV/atom
**Total DFT energy (no corrections)**: -4.79 eV per atom
**M_tot**: 0.00 Bohr magnetons per cell
**Calculated volume**: 95.2 Å³ per cell
**ΔE_f (raw)**: 0.3811 eV per atom

POSCAR file:
```
ZnRuSe2N
1.0
5.120 0.000 0.000
0.000 5.120 0.000
0.000 0.000 3.632
Ru Zn N Se
1 1 1 2
direct
0.000 0.000 0.000
0.500 0.500 0.500
0.000 0.000 0.500
0.000 0.500 0.000
0.500 0.000 0.000
```

7.
Density functional theory data (PBE-GGA) for a relaxed Sm3Be3Ir2 crystal.

**Formation energy**: -0.429 eV/atom
**Total DFT energy (no corrections)**: -5.81 eV per atom
**M_tot**: 0.00 Bohr magnetons per cell
**Calculated volume**: 309.9 Å³ per cell

POSCAR file:
```
Sm3Be3Ir2
1.0
-2.043 -0.923 -3.271
2.700 -4.604 2.017
-11.651 -3.243 8.192
Ir Be Sm
4 6 6
direct
0.780 0.560 0.608
0.220 0.440 0.392
0.220 0.440 0.108
0.780 0.560 0.892
0.326 0.652 0.534
0.674 0.348 0.034
0.339 0.678 0.250
0.674 0.348 0.466
0.661 0.322 0.750
0.326 0.652 0.966
0.932 0.865 0.394
0.353 0.705 0.750
0.068 0.135 0.606
0.068 0.135 0.894
0.647 0.295 0.250
0.932 0.865 0.106
```

8.
Density functional theory data (PBE-GGA) for a relaxed SrMn2I crystal.

**Relative energy among the computed polymorphs**: 206 meV/atom
**Total DFT energy (no corrections)**: -4.64 eV per atom
**M_tot**: 8.45 Bohr magnetons per cell
**Calculated volume**: 107.0 Å³ per cell
**ΔE_f (raw)**: 0.7516 eV per atom

POSCAR file:
```
SrMn2I
1.0
0.000 3.768 3.768
3.768 0.000 3.768
3.768 3.768 0.000
Mn I Sr
2 1 1
direct
0.750 0.750 0.750
0.250 0.250 0.250
0.500 0.500 0.500
0.000 0.000 0.000
```